1.
A plane-wave DFT calculation with PBE was carried out for a geometry-optimized CuNi4N structure.

Results
Raw total energy   -0.4335 Ry/atom

a b c (Å): 6.127 6.127 5.032
angles (deg): 104.98 104.98 43.45
Fractional coordinates of all 12 atoms:
Cu (0.097, 0.903, 0.750)
Cu (0.903, 0.097, 0.250)
Ni (0.112, 0.279, 0.649)
Ni (0.279, 0.112, 0.149)
Ni (0.320, 0.492, 0.059)
Ni (0.492, 0.320, 0.559)
Ni (0.508, 0.680, 0.441)
Ni (0.680, 0.508, 0.941)
Ni (0.721, 0.888, 0.851)
Ni (0.888, 0.721, 0.351)
N (0.000, 0.500, 0.000)
N (0.500, 0.000, 0.500)



2.
A plane-wave DFT calculation with PBE was carried out for a geometry-optimized CuNiN3 structure.

Results
Raw total energy   -0.3485 Ry/atom

a b c (Å): 3.684 3.684 3.684
angles (deg): 90.00 90.00 90.00
Fractional coordinates of all 5 atoms:
Cu (0.000, 0.000, 0.000)
Ni (0.500, 0.500, 0.500)
N (0.000, 0.000, 0.500)
N (0.000, 0.500, 0.000)
N (0.500, 0.000, 0.000)



3.
A plane-wave DFT calculation with PBE was carried out for a geometry-optimized CuNi3N structure.

Results
Raw total energy   -0.4337 Ry/atom

a b c (Å): 7.947 7.947 3.668
angles (deg): 103.24 103.24 27.44
Fractional coordinates of all 10 atoms:
Cu (0.058, 0.058, 0.308)
Cu (0.942, 0.942, 0.692)
Ni (0.182, 0.182, 0.931)
Ni (0.318, 0.318, 0.569)
Ni (0.445, 0.445, 0.195)
Ni (0.555, 0.555, 0.805)
Ni (0.682, 0.682, 0.431)
Ni (0.818, 0.818, 0.069)
N (0.322, 0.322, 0.072)
N (0.678, 0.678, 0.928)



Number 1: DOS at the Fermi energy 0.679 states/eV/atom. Number 2: DOS at the Fermi energy 0.991 states/eV/atom. Number 3: DOS at the Fermi energy 0.964 states/eV/atom.